The following is a DFT calculation (PBE) of a geometry-optimized LaNdGa structure.

a b c (Å): 3.8324 3.8324 6.6397
angles (deg): 106.77 106.77 90.00
Positions (direct):
1 Nd 0.0262 0.0262 0.0524
2 La 0.3115 0.3115 0.6230
3 Ga 0.6623 0.6623 0.3246

formation energy: -0.33 eV/atom
N(E_F): 3.6 states/eV per cell
space group: I4mm (107)

---

The following is a DFT calculation (PBE) of a geometry-optimized LaNdGa2 structure.

a b c (Å): 3.8663 3.8663 9.2355
angles (deg): 77.92 77.92 60.00
Positions (direct):
1 La 0.0000 0.0000 0.0000
2 Ga 0.7516 0.7516 0.7452
3 Nd 0.5000 0.5000 0.5000
4 Ga 0.2484 0.2484 0.2548

formation energy: -0.36 eV/atom
N(E_F): 3.2 states/eV per cell
space group: R-3m (166)

---

The following is a DFT calculation (PBE) of a geometry-optimized La2Nd3Ga2 structure.

a b c (Å): 4.2790 6.6259 8.9778
angles (deg): 112.34 90.00 108.84
Positions (direct):
1 Nd 0.3774 0.7548 0.5585
2 La 0.1550 0.3099 0.8153
3 La 0.8450 0.6901 0.1847
4 Nd 0.5000 0.0000 0.0000
5 Ga 0.1684 0.3368 0.2176
6 Ga 0.8316 0.6632 0.7824
7 Nd 0.6226 0.2452 0.4415

formation energy: -0.30 eV/atom
N(E_F): 9.2 states/eV per cell
space group: C2/m (12)

---

The following is a DFT calculation (PBE) of a geometry-optimized LaNdGa2 structure.

a b c (Å): 4.5071 4.2230 6.1478
angles (deg): 90.00 111.46 90.00
Positions (direct):
1 Ga 0.0116 0.0000 0.5622
2 Nd 0.4439 0.5000 0.4268
3 Ga 0.1501 0.5000 0.8390
4 La 0.7254 0.0000 0.9900

formation energy: -0.59 eV/atom
N(E_F): 4.0 states/eV per cell
space group: Amm2 (38)

---

The following is a DFT calculation (PBE) of a geometry-optimized La4NdGa2 structure.

a b c (Å): 4.8976 6.7569 6.7569
angles (deg): 101.37 90.00 90.00
Positions (direct):
1 La 0.0000 0.1997 0.1997
2 Nd 0.5000 0.5000 0.5000
3 La 0.5000 0.0000 0.5000
4 La 0.0000 0.8003 0.8003
5 Ga 0.0000 0.7090 0.2910
6 Ga 0.0000 0.2910 0.7090
7 La 0.5000 0.5000 0.0000

formation energy: -0.26 eV/atom
N(E_F): 8.1 states/eV per cell
space group: Cmmm (65)

---

The following is a DFT calculation (PBE) of a geometry-optimized La5Nd4Ga4 structure.

a b c (Å): 5.1887 9.0633 9.0633
angles (deg): 85.30 73.37 73.37
Positions (direct):
1 Ga 0.2334 0.6561 0.8771
2 Ga 0.7666 0.3439 0.1229
3 Nd 0.6241 0.2834 0.4683
4 Ga 0.8895 0.8771 0.3439
5 La 0.6090 0.7024 0.0796
6 La 0.3114 0.0796 0.2976
7 La 0.3910 0.2976 0.9204
8 Nd 0.9076 0.4683 0.7166
9 Nd 0.0924 0.5317 0.2834
10 Nd 0.3759 0.7166 0.5317
11 La 0.0000 0.0000 0.0000
12 La 0.6886 0.9204 0.7024
13 Ga 0.1105 0.1229 0.6561

formation energy: -0.37 eV/atom
N(E_F): 15.1 states/eV per cell
space group: I4/m (87)

---

The following is a DFT calculation (PBE) of a geometry-optimized La3NdGa2 structure.

a b c (Å): 4.6305 10.5425 9.4485
angles (deg): 124.98 90.00 102.69
Positions (direct):
1 Nd 0.8858 0.7717 0.9061
2 Ga 0.4975 0.9950 0.1363
3 Nd 0.1142 0.2283 0.0939
4 Ga 0.7660 0.5321 0.2502
5 La 0.0475 0.0950 0.4110
6 La 0.3481 0.6962 0.1708
7 La 0.3190 0.6380 0.5719
8 La 0.9525 0.9050 0.5890
9 La 0.6519 0.3038 0.8292
10 La 0.6810 0.3620 0.4281
11 Ga 0.5025 0.0050 0.8637
12 Ga 0.2340 0.4679 0.7498

formation energy: -0.36 eV/atom
N(E_F): 13.0 states/eV per cell
space group: C2/m (12)

---

The following is a DFT calculation (PBE) of a geometry-optimized LaNd2Ga6 structure.

a b c (Å): 4.3677 7.4320 7.4320
angles (deg): 120.00 90.00 90.00
Positions (direct):
1 Ga 0.5000 0.3345 0.0000
2 Nd 0.0000 0.3333 0.6667
3 Ga 0.5000 0.0000 0.6655
4 Ga 0.5000 0.6655 0.6655
5 La 0.0000 0.0000 0.0000
6 Ga 0.5000 0.0000 0.3345
7 Ga 0.5000 0.6655 0.0000
8 Ga 0.5000 0.3345 0.3345
9 Nd 0.0000 0.6667 0.3333

formation energy: -0.69 eV/atom
N(E_F): 5.9 states/eV per cell
space group: P6/mmm (191)

---

The following is a DFT calculation (PBE) of a geometry-optimized La5NdGa4 structure.

a b c (Å): 3.7645 3.7645 20.3176
angles (deg): 90.00 90.00 90.00
Positions (direct):
1 Nd 0.0000 0.0000 0.0000
2 Ga 0.0000 0.0000 0.5935
3 La 0.5000 0.5000 0.6866
4 Ga 0.0000 0.0000 0.4065
5 Ga 0.0000 0.0000 0.2182
6 Ga 0.0000 0.0000 0.7818
7 La 0.5000 0.5000 0.1304
8 La 0.5000 0.5000 0.3134
9 La 0.5000 0.5000 0.8696
10 La 0.5000 0.5000 0.5000

formation energy: -0.44 eV/atom
N(E_F): 9.0 states/eV per cell
space group: P4/mmm (123)

---

The following is a DFT calculation (PBE) of a geometry-optimized LaNd2Ga3 structure.

a b c (Å): 3.7151 3.7151 11.2039
angles (deg): 90.00 90.00 90.00
Positions (direct):
1 Nd 0.5000 0.5000 0.8355
2 Nd 0.5000 0.5000 0.1645
3 La 0.5000 0.5000 0.5000
4 Ga 0.0000 0.0000 0.3264
5 Ga 0.0000 0.0000 0.0000
6 Ga 0.0000 0.0000 0.6736

formation energy: -0.56 eV/atom
N(E_F): 3.3 states/eV per cell
space group: P4/mmm (123)

---

The following is a DFT calculation (PBE) of a geometry-optimized LaNdGa2 structure.

a b c (Å): 5.2875 5.2875 5.2875
angles (deg): 60.00 60.00 60.00
Positions (direct):
1 La 0.5000 0.5000 0.5000
2 Nd 0.0000 0.0000 0.0000
3 Ga 0.7500 0.7500 0.7500
4 Ga 0.2500 0.2500 0.2500

formation energy: -0.56 eV/atom
N(E_F): 2.2 states/eV per cell
space group: Fm-3m (225)

---

The following is a DFT calculation (PBE) of a geometry-optimized La3NdGa structure.

a b c (Å): 7.7349 7.7349 7.7582
angles (deg): 105.92 116.73 105.88
Positions (direct):
1 Ga 0.3776 0.2508 0.6284
2 La 0.7179 0.4358 0.1537
3 La 0.2821 0.5642 0.8463
4 Ga 0.6224 0.7492 0.3716
5 La 0.8559 0.0548 0.2773
6 La 0.7775 0.5786 0.7227
7 Nd 0.3012 0.9368 0.2381
8 La 0.2225 0.4214 0.2773
9 La 0.1441 0.9452 0.7227
10 Nd 0.6988 0.0632 0.7619

formation energy: -0.10 eV/atom
N(E_F): 15.5 states/eV per cell
space group: C2/m (12)

---

The following is a DFT calculation (PBE) of a geometry-optimized La6Nd2Ga structure.

a b c (Å): 3.7757 9.7550 9.7552
angles (deg): 120.00 90.00 90.00
Positions (direct):
1 La 0.0000 0.7366 0.7367
2 Nd 0.0000 0.6668 0.3334
3 La 0.5000 0.6306 0.0000
4 Ga 0.5000 0.0001 0.0000
5 La 0.0000 0.9999 0.2633
6 Nd 0.0000 0.3333 0.6666
7 La 0.0000 0.2635 0.0000
8 La 0.5000 0.0001 0.6308
9 La 0.5000 0.3693 0.3692

formation energy: -0.12 eV/atom
N(E_F): 12.6 states/eV per cell
space group: P-62m (189)